A plane-wave DFT calculation with PBE-GGA was carried out for an optimized crystal structure of AcAlSi2.

Geometry as POSCAR:
```
AcAlSi2
1.0
4.3613 0.0000 0.0000
0.0000 4.9477 0.0205
0.0000 -1.6083 4.6791
Si Al Ac
2 1 1
Cartesian
2.1806 -0.2942 2.3099
2.1806 1.0614 4.2176
2.1806 2.2269 1.9539
0.0000 -1.4612 4.5746
```

Computed properties:
Its total energy is -4.8816 eV per atom. Its raw formation energy is -0.21 eV/atom. Its density is 5.09 g/cm3. As for the offset from the most stable computed form: 145 meV/atom.


A plane-wave DFT calculation with PBE-GGA was carried out for an optimized crystal structure of Ac2Al3Si.

Geometry as POSCAR:
```
Ac2Al3Si
1.0
4.6881 0.0000 0.0000
0.0000 4.4148 0.0000
0.0000 0.0000 7.6377
Al Ac Si
3 2 1
Cartesian
2.3441 0.0000 6.3486
2.3441 0.0000 1.2931
2.3441 2.2074 5.0638
0.0000 0.0000 3.7745
0.0000 2.2074 0.0543
2.3441 2.2074 2.5598
```

Computed properties:
Its total energy is -4.6492 eV per atom. Its raw formation energy is -0.50 eV/atom. Its density is 5.91 g/cm3.


A plane-wave DFT calculation with PBE-GGA was carried out for an optimized crystal structure of Ac3AlSi2.

Geometry as POSCAR:
```
Ac3AlSi2
1.0
-6.7458 0.9681 4.2316
-6.8580 -1.7051 -3.7959
-3.7607 -6.7067 2.2860
Si Ac Al
4 6 2
Cartesian
-2.4119 -1.0339 0.3780
-11.0942 -4.7558 1.7389
-14.9526 -6.4098 2.3437
-6.2703 -2.6879 0.9828
-11.1662 -2.7819 -0.7606
-10.2112 -3.1443 4.3413
-8.3541 -0.3433 1.5394
-9.0104 -7.1004 1.1823
-6.1983 -4.6619 3.4823
-7.1533 -4.2995 -1.6196
-8.6822 -3.7219 1.3608
0.0000 0.0000 0.0000
```

Computed properties:
Its total energy is -4.8051 eV per atom. Its raw formation energy is -0.32 eV/atom. Its density is 6.43 g/cm3. As for the offset from the most stable computed form: 172 meV/atom.


A plane-wave DFT calculation with PBE-GGA was carried out for an optimized crystal structure of Ac3AlSi3.

Geometry as POSCAR:
```
Ac3AlSi3
1.0
-5.2334 -3.5589 1.2933
4.8274 -7.6120 -1.4117
-0.4203 3.6525 8.3499
Al Ac Si
2 6 6
Cartesian
-2.5962 -2.7714 6.0660
1.7698 -4.7468 2.1655
-0.8100 -5.6947 5.2495
-1.2681 1.1403 6.0722
0.4418 -8.6585 2.1593
-0.0163 -1.8235 2.9820
1.3461 -2.2927 7.2039
-2.1724 -5.2255 1.0277
3.0252 -6.8110 1.5656
-3.8516 -0.7072 6.6660
-2.6126 -3.6003 3.7188
-1.3243 -4.0068 7.8134
1.7863 -3.9180 4.5128
0.4979 -3.5115 0.4182
```

Computed properties:
Its total energy is -5.0164 eV per atom. Its raw formation energy is -0.40 eV/atom. Its density is 5.65 g/cm3. As for the offset from the most stable computed form: 170 meV/atom.


A plane-wave DFT calculation with PBE-GGA was carried out for an optimized crystal structure of AcAl2Si.

Geometry as POSCAR:
```
AcAl2Si
1.0
4.4396 0.0000 0.0000
0.0000 4.6103 0.0000
0.0000 -2.3052 8.9902
Al Si Ac
4 2 2
Cartesian
3.3297 0.0000 8.3418
3.3297 2.3052 4.5174
1.1099 2.3052 0.6484
1.1099 0.0000 4.4728
3.3297 0.0000 5.7861
1.1099 2.3052 3.2041
3.3297 0.0000 1.8659
1.1099 2.3052 7.1243
```

Computed properties:
Its total energy is -4.6271 eV per atom. Its raw formation energy is -0.37 eV/atom. Its density is 5.58 g/cm3. As for the offset from the most stable computed form: 0 meV/atom.


A plane-wave DFT calculation with PBE-GGA was carried out for an optimized crystal structure of Ac3Al4Si4.

Geometry as POSCAR:
```
Ac3Al4Si4
1.0
4.2238 0.0000 -0.6802
-0.1257 4.5726 -0.7806
-0.0480 -0.1102 13.1555
Si Al Ac
4 4 3
Cartesian
3.3245 1.3187 7.1894
1.8116 1.9701 11.2489
2.2385 2.4923 0.4458
0.7255 3.1437 4.5052
0.9923 1.0792 6.1617
0.3250 2.7081 2.0180
3.7250 1.7543 9.6767
3.0577 3.3832 5.5329
2.6847 0.6229 3.2167
1.3653 3.8395 8.4779
0.0000 0.0000 0.0000
```

Computed properties:
Its total energy is -4.8924 eV per atom. Its raw formation energy is -0.44 eV/atom. Its density is 5.90 g/cm3.


A plane-wave DFT calculation with PBE-GGA was carried out for an optimized crystal structure of Ac2Al6Si3.

Geometry as POSCAR:
```
Ac2Al6Si3
1.0
4.2440 0.0000 0.0000
0.0000 7.9394 0.0000
0.0000 -3.9697 6.8757
Ac Si Al
2 3 6
Cartesian
0.0000 0.0000 4.5838
0.0000 3.9697 2.2919
2.1220 -2.4328 4.2138
2.1220 1.5369 2.6619
2.1220 4.8656 0.0000
2.1220 -1.1196 1.9392
2.1220 2.2392 0.0000
2.1220 2.8501 4.9365
0.0000 -3.2135 5.5660
0.0000 6.4271 0.0000
0.0000 0.7561 1.3097
```

Computed properties:
Its total energy is -4.4917 eV per atom. Its raw formation energy is -0.22 eV/atom. Its density is 5.02 g/cm3.


A plane-wave DFT calculation with PBE-GGA was carried out for an optimized crystal structure of AcAlSi3.

Geometry as POSCAR:
```
AcAlSi3
1.0
-4.1187 -1.2549 0.3171
0.6276 -2.8648 -3.1853
2.6715 -6.4307 9.2527
Ac Si Al
2 6 2
Cartesian
-0.2806 -8.9441 5.0461
-0.5390 -1.6062 1.3384
1.7825 -7.7208 7.2951
-1.2382 -5.8160 4.9868
0.4186 -4.7343 1.3976
1.1347 -6.0144 5.6328
-1.9543 -4.5359 0.7517
-2.6021 -2.8295 -0.9106
-1.8855 -4.1110 3.3258
1.0660 -6.4393 3.0586
```

Computed properties:
Its total energy is -5.0146 eV per atom. Its raw formation energy is -0.19 eV/atom. Its density is 5.28 g/cm3.


A plane-wave DFT calculation with PBE-GGA was carried out for an optimized crystal structure of AcAl3Si.

Geometry as POSCAR:
```
AcAl3Si
1.0
1.6557 -3.0266 5.3300
-3.2173 0.8587 5.4057
-1.1118 -1.2751 -6.1195
Al Ac Si
3 1 1
Cartesian
-0.3399 -0.4719 2.3371
-0.2755 -2.9108 3.3688
-2.7120 -0.9682 3.4067
-0.9291 -1.2898 6.3876
-1.5294 -2.1231 10.5142
```

Computed properties:
Its total energy is -4.4772 eV per atom. Its raw formation energy is -0.33 eV/atom. Its density is 5.19 g/cm3.


A plane-wave DFT calculation with PBE-GGA was carried out for an optimized crystal structure of Ac3Al2Si3.

Geometry as POSCAR:
```
Ac3Al2Si3
1.0
-0.1846 4.2256 1.2815
-5.7035 -1.8466 -2.3534
-4.3076 -4.4016 13.8933
Al Ac Si
4 6 6
Cartesian
-7.1351 -1.7194 12.2625
-4.3832 -1.6546 4.8246
-3.0606 -0.3032 0.5589
-5.8125 -0.3680 7.9968
-2.8406 1.0892 3.6202
-4.5634 -3.8877 12.1622
-3.3500 -2.6479 8.2487
-6.8457 0.6253 4.5727
-7.3551 -3.1118 9.2012
-5.6323 1.8651 0.6592
-6.5026 -2.2000 6.3176
-3.6931 0.1774 6.5038
-5.0764 -1.1079 10.5426
-8.2838 -4.0200 12.0624
-1.9119 1.9974 0.7590
-5.1193 -0.9147 2.2788
```

Computed properties:
Its total energy is -4.9862 eV per atom. Its raw formation energy is -0.48 eV/atom. Its density is 6.70 g/cm3. As for the offset from the most stable computed form: 32 meV/atom.


A plane-wave DFT calculation with PBE-GGA was carried out for an optimized crystal structure of AcAl3Si3.

Geometry as POSCAR:
```
AcAl3Si3
1.0
6.9177 0.0000 0.0000
0.0000 6.9177 0.0000
0.0000 0.0000 6.9177
Al Si Ac
6 6 2
Cartesian
0.0000 3.4589 1.7294
3.4589 1.7294 0.0000
1.7294 0.0000 3.4589
0.0000 3.4589 5.1883
3.4589 5.1883 0.0000
5.1883 0.0000 3.4589
3.4589 0.0000 5.1883
1.7294 3.4589 0.0000
3.4589 0.0000 1.7294
0.0000 5.1883 3.4589
5.1883 3.4589 0.0000
0.0000 1.7294 3.4589
3.4589 3.4589 3.4589
0.0000 0.0000 0.0000
```

Computed properties:
Its total energy is -4.5195 eV per atom. Its raw formation energy is 0.00 eV/atom. Its density is 3.93 g/cm3. As for the offset from the most stable computed form: 169 meV/atom.


A plane-wave DFT calculation with PBE-GGA was carried out for an optimized crystal structure of AcSmAlSi.

Geometry as POSCAR:
```
AcSmAlSi
1.0
-0.6365 -1.8207 -4.9806
4.2705 -0.9243 -3.0717
1.3859 -5.0147 -1.2078
Sm Al Ac Si
1 1 1 1
Cartesian
2.5099 -3.8798 -4.6300
1.2550 -1.9399 -2.3150
0.0000 0.0000 0.0000
3.7649 -5.8197 -6.9450
```

Computed properties:
Its total energy is -4.7672 eV per atom. Its raw formation energy is -0.27 eV/atom. Its density is 6.67 g/cm3. As for the offset from the most stable computed form: 256 meV/atom.


| no. | total magnetization (μB/f.u.) |
| --- | --- |
| 1 | 0.00 |
| 2 | 0.00 |
| 3 | 0.00 |
| 4 | 0.00 |
| 5 | 0.00 |
| 6 | 0.00 |
| 7 | 0.00 |
| 8 | 0.00 |
| 9 | 0.00 |
| 10 | 0.00 |
| 11 | 0.00 |
| 12 | 0.00 |